# 1
The following is a DFT calculation (GGA-PBE) of a relaxed structure of LiCdFe3.

Properties
E_tot (eV/atom): -4.730
Spin magnetization (μB per cell): 7.13
Density (g/cm3): 6.78

Structure (CIF):
```
data_LiCdFe3
_chemical_formula_sum 'Li1 Cd1 Fe3'
_space_group_name_H-M_alt 'P m -3 m'
_space_group_IT_number 221
_space_group_name_Hall '-P 4 2 3'
_cell_length_a 4.126
_cell_length_b 4.126
_cell_length_c 4.126
_cell_angle_alpha 90.00
_cell_angle_beta 90.00
_cell_angle_gamma 90.00
loop_
_atom_site_label
_atom_site_type_symbol
_atom_site_fract_x
_atom_site_fract_y
_atom_site_fract_z
Li1 Li 0.000 0.000 0.000
Cd1 Cd 0.500 0.500 0.500
Fe1 Fe 0.000 0.000 0.500
```

=====

# 2
The following is a DFT calculation (GGA-PBE) of a relaxed structure of YTaCr3.

Properties
E_tot (eV/atom): -8.378
Spin magnetization (μB per cell): 7.95
Density (g/cm3): 6.62

Structure (CIF):
```
data_YTaCr3
_chemical_formula_sum 'Y1 Ta1 Cr3'
_space_group_name_H-M_alt 'P m -3 m'
_space_group_IT_number 221
_space_group_name_Hall '-P 4 2 3'
_cell_length_a 4.746
_cell_length_b 4.746
_cell_length_c 4.746
_cell_angle_alpha 90.00
_cell_angle_beta 90.00
_cell_angle_gamma 90.00
loop_
_atom_site_label
_atom_site_type_symbol
_atom_site_fract_x
_atom_site_fract_y
_atom_site_fract_z
Y1 Y 0.000 0.000 0.000
Ta1 Ta 0.500 0.500 0.500
Cr1 Cr 0.000 0.500 0.500
```

=====

# 3
The following is a DFT calculation (GGA-PBE) of a relaxed structure of TePbS2N.

Properties
E_form (uncorrected) (eV per formula unit): 2.7
E_tot (eV/atom): -4.149
Spin magnetization (μB per cell): 0.00
Density (g/cm3): 6.28

Structure (CIF):
```
data_TePbS2N
_chemical_formula_sum 'Te1 Pb1 S2 N1'
_space_group_name_H-M_alt 'P 4/m m m'
_space_group_IT_number 123
_space_group_name_Hall '-P 4 2'
_cell_length_a 5.224
_cell_length_b 5.224
_cell_length_c 3.998
_cell_angle_alpha 90.00
_cell_angle_beta 90.00
_cell_angle_gamma 90.00
loop_
_atom_site_label
_atom_site_type_symbol
_atom_site_fract_x
_atom_site_fract_y
_atom_site_fract_z
Te1 Te 0.000 0.000 0.000
Pb1 Pb 0.500 0.500 0.500
S1 S 0.000 0.500 0.000
N1 N 0.000 0.000 0.500
```

=====

# 4
The following is a DFT calculation (GGA-PBE) of a relaxed structure of NaPb6Cl12.

Properties
E_form (uncorrected) (eV per formula unit): -21.3
E_tot (eV/atom): -3.527
Spin magnetization (μB per cell): 0.00
Density (g/cm3): 4.75

Structure (CIF):
```
data_NaPb6Cl12
_chemical_formula_sum 'Na3 Pb18 Cl36'
_space_group_name_H-M_alt 'R -3'
_space_group_IT_number 148
_space_group_name_Hall '-R 3'
_cell_length_a 13.0981
_cell_length_b 13.0981
_cell_length_c 11.9510
_cell_angle_alpha 90.00
_cell_angle_beta 90.00
_cell_angle_gamma 120.00
loop_
_atom_site_label
_atom_site_type_symbol
_atom_site_fract_x
_atom_site_fract_y
_atom_site_fract_z
Na1 Na 0.0000 0.0000 0.0000
Pb1 Pb 0.0536 0.7864 0.6558
Cl1 Cl 0.0343 0.8157 0.3943
Cl2 Cl 0.0448 0.8371 0.8887
```

=====

# 5
The following is a DFT calculation (GGA-PBE) of a relaxed structure of CeHoRuAu.

Properties
E_tot (eV/atom): -6.247
Spin magnetization (μB per cell): 2.14
Density (g/cm3): 11.35

Structure (CIF):
```
data_CeHoRuAu
_chemical_formula_sum 'Ce4 Ho4 Ru4 Au4'
_space_group_name_H-M_alt 'F -4 3 m'
_space_group_IT_number 216
_space_group_name_Hall 'F -4 2 3'
_cell_length_a 7.068
_cell_length_b 7.068
_cell_length_c 7.068
_cell_angle_alpha 90.00
_cell_angle_beta 90.00
_cell_angle_gamma 90.00
loop_
_atom_site_label
_atom_site_type_symbol
_atom_site_fract_x
_atom_site_fract_y
_atom_site_fract_z
Ce1 Ce 0.000 0.000 0.000
Ho1 Ho 0.000 0.000 0.500
Ru1 Ru 0.250 0.250 0.250
Au1 Au 0.250 0.250 0.750
```

=====

# 6
The following is a DFT calculation (GGA-PBE) of a relaxed structure of MnTeSe2.

Properties
E_form (uncorrected) (eV per formula unit): -0.1
E_tot (eV/atom): -4.837
Spin magnetization (μB per cell): 9.94
Density (g/cm3): 5.95

Structure (CIF):
```
data_MnTeSe2
_chemical_formula_sum 'Mn3 Te3 Se6'
_space_group_name_H-M_alt 'R 3 m'
_space_group_IT_number 160
_space_group_name_Hall 'R 3 -2"'
_cell_length_a 3.7041
_cell_length_b 3.7041
_cell_length_c 23.9841
_cell_angle_alpha 90.00
_cell_angle_beta 90.00
_cell_angle_gamma 120.00
loop_
_atom_site_label
_atom_site_type_symbol
_atom_site_fract_x
_atom_site_fract_y
_atom_site_fract_z
Mn1 Mn 0.0000 0.0000 0.0000
Te1 Te 0.0000 0.0000 0.7408
Se1 Se 0.0000 0.0000 0.2825
Se2 Se 0.0000 0.0000 0.4900
```

=====

# 7
The following is a DFT calculation (GGA-PBE) of a relaxed structure of Zn2FeMo.

Properties
E_tot (eV/atom): -5.269
Spin magnetization (μB per cell): 3.92
Density (g/cm3): 8.41

Structure (CIF):
```
data_Zn2FeMo
_chemical_formula_sum 'Zn4 Fe2 Mo2'
_space_group_name_H-M_alt 'I m m m'
_space_group_IT_number 71
_space_group_name_Hall '-I 2 2'
_cell_length_a 2.810
_cell_length_b 4.406
_cell_length_c 9.015
_cell_angle_alpha 90.00
_cell_angle_beta 90.00
_cell_angle_gamma 90.00
loop_
_atom_site_label
_atom_site_type_symbol
_atom_site_fract_x
_atom_site_fract_y
_atom_site_fract_z
Zn1 Zn 0.000 0.000 0.236
Fe1 Fe 0.000 0.500 0.500
Mo1 Mo 0.000 0.500 0.000
```

=====

# 8
The following is a DFT calculation (GGA-PBE) of a relaxed structure of DyEr2Mg8.

Properties
E_tot (eV/atom): -2.343
Spin magnetization (μB per cell): 0.00
Density (g/cm3): 3.99

Structure (CIF):
```
data_DyEr2Mg8
_chemical_formula_sum 'Dy2 Er4 Mg16'
_space_group_name_H-M_alt 'I m m m'
_space_group_IT_number 71
_space_group_name_Hall '-I 2 2'
_cell_length_a 5.292
_cell_length_b 7.815
_cell_length_c 13.899
_cell_angle_alpha 90.00
_cell_angle_beta 90.00
_cell_angle_gamma 90.00
loop_
_atom_site_label
_atom_site_type_symbol
_atom_site_fract_x
_atom_site_fract_y
_atom_site_fract_z
Dy1 Dy 0.000 0.000 0.000
Er1 Er 0.000 0.000 0.287
Mg1 Mg 0.000 0.206 0.500
Mg2 Mg 0.000 0.310 0.135
Mg3 Mg 0.000 0.500 0.347
```